DFT (GGA-PBEsol) results for Mg2CrGaW after structural relaxation.

Lattice parameters (Å, degrees): 4.680 4.680 4.799 90.00 90.00 90.00
Last column: magnetic moment on the atom in μB.
Atoms (fractional coordinates):
Cr 0.500 0.500 0.500  3.78
W 0.000 0.000 0.500  -1.02
Mg 0.000 0.500 0.000  0.00
Mg 0.500 0.000 0.000  0.00
Ga 0.000 0.000 0.000  -0.01

- raw total energy (eV/atom) = -4.906
- volume (Å³/cell) = 105.1

DFT (GGA-PBEsol) results for MgHgRh after structural relaxation.

Lattice parameters (Å, degrees): 3.207 3.207 5.389 107.31 107.31 90.00
Atoms (fractional coordinates):
Mg 0.318 0.318 0.636
Hg 0.005 0.005 0.010
Rh 0.677 0.677 0.354

- raw total energy (eV/atom) = -3.712
- volume (Å³/cell) = 50.3

DFT (GGA-PBEsol) results for LiY2Ga after structural relaxation.

Lattice parameters (Å, degrees): 5.036 5.036 5.036 60.00 60.00 60.00
Atoms (fractional coordinates):
Li 0.000 0.000 0.000
Y 0.750 0.750 0.750
Y 0.250 0.250 0.250
Ga 0.500 0.500 0.500

- raw total energy (eV/atom) = -5.096
- volume (Å³/cell) = 90.3

DFT (GGA-PBEsol) results for KSiTe after structural relaxation.

Lattice parameters (Å, degrees): 3.748 3.748 6.556 106.61 106.61 90.00
Atoms (fractional coordinates):
K 0.997 0.997 0.994
Te 0.710 0.710 0.420
Si 0.293 0.293 0.585

- ΔE_f (raw) (kJ/mol of formula units) = -41
- volume (Å³/cell) = 84.3

DFT (GGA-PBEsol) results for AlCrFe after structural relaxation.

Lattice parameters (Å, degrees): 2.752 2.752 4.907 106.28 106.28 90.00
Atoms (fractional coordinates):
Cr 0.678 0.678 0.356
Fe 0.326 0.326 0.653
Al 0.996 0.996 0.991

- raw total energy (eV/atom) = -7.958
- volume (Å³/cell) = 34.1

DFT (GGA-PBEsol) results for Tl2HgPb after structural relaxation.

Lattice parameters (Å, degrees): 3.436 3.436 10.885 80.92 80.92 60.00
Atoms (fractional coordinates):
Tl 0.246 0.246 0.262
Tl 0.754 0.754 0.738
Pb 0.000 0.000 0.000
Hg 0.500 0.500 0.500

- raw total energy (eV/atom) = -2.449
- volume (Å³/cell) = 109.4

DFT (GGA-PBEsol) results for AlReNi2 after structural relaxation.

Lattice parameters (Å, degrees): 4.106 4.106 4.106 60.00 60.00 60.00
Last column: magnetic moment on the atom in μB.
Atoms (fractional coordinates):
Al 0.500 0.500 0.500  0.02
Ni 0.750 0.750 0.750  0.12
Ni 0.000 0.000 0.000  0.48
Re 0.250 0.250 0.250  0.56

- raw total energy (eV/atom) = -7.454
- volume (Å³/cell) = 48.9

DFT (GGA-PBEsol) results for Cr3PIr after structural relaxation.

Lattice parameters (Å, degrees): 4.068 4.068 4.068 90.00 90.00 90.00
Atoms (fractional coordinates):
P 0.500 0.500 0.500
Ir 0.000 0.000 0.000
Cr 0.500 0.500 0.000
Cr 0.000 0.500 0.500
Cr 0.500 0.000 0.500

- raw total energy (eV/atom) = -8.635
- volume (Å³/cell) = 67.3

DFT (GGA-PBEsol) results for Cu5As after structural relaxation.

Lattice parameters (Å, degrees): 2.698 4.884 6.016 105.34 90.00 106.03
Atoms (fractional coordinates):
Cu 0.278 0.555 0.066
Cu 0.669 0.338 0.337
Cu 0.614 0.229 0.721
Cu 0.948 0.897 0.395
Cu 0.328 0.656 0.654
As 0.996 0.992 0.993

- raw total energy (eV/atom) = -4.399
- volume (Å³/cell) = 73.3

DFT (GGA-PBEsol) results for ZrSc after structural relaxation.

Lattice parameters (Å, degrees): 5.070 5.564 6.418 90.00 90.00 90.00
Atoms (fractional coordinates):
Sc 0.750 0.416 0.624
Sc 0.250 0.084 0.124
Sc 0.750 0.916 0.876
Sc 0.250 0.584 0.376
Zr 0.750 0.919 0.374
Zr 0.750 0.419 0.126
Zr 0.250 0.081 0.626
Zr 0.250 0.581 0.874

- raw total energy (eV/atom) = -7.859
- volume (Å³/cell) = 181.1

DFT (GGA-PBEsol) results for NbMoAu2 after structural relaxation.

Lattice parameters (Å, degrees): 4.569 4.569 4.569 60.00 60.00 60.00
Atoms (fractional coordinates):
Au 0.250 0.250 0.250
Au 0.750 0.750 0.750
Mo 0.500 0.500 0.500
Nb 0.000 0.000 0.000

- raw total energy (eV/atom) = -7.272
- volume (Å³/cell) = 67.4

DFT (GGA-PBEsol) results for Dy3Ga9Pt2 after structural relaxation.

Lattice parameters (Å, degrees): 4.147 8.097 8.097 75.18 75.16 75.16
Atoms (fractional coordinates):
Dy 0.000 0.000 0.000
Dy 0.677 0.323 0.323
Dy 0.323 0.677 0.677
Pt 0.500 0.725 0.275
Pt 0.500 0.275 0.725
Ga 0.000 0.500 0.500
Ga 0.870 0.410 0.851
Ga 0.870 0.851 0.410
Ga 0.130 0.590 0.149
Ga 0.130 0.149 0.590
Ga 0.668 0.956 0.707
Ga 0.668 0.707 0.956
Ga 0.332 0.044 0.293
Ga 0.332 0.293 0.044

- raw total energy (eV/atom) = -4.949
- volume (Å³/cell) = 248.7